Ho2ErCu2 | PBE | optimized geometry

As for the density of states at the Fermi level: 1.10 states/eV/atom. The calculation puts the formation energy at -10 kJ/mol of atoms. The polymorph energy (0 for the lowest one) comes out at 0.076 eV per atom. Its crystal system is orthorhombic.

Cell: 3.6844 7.1834 9.2215 Å, 90.00 90.00 104.86°
Fractional positions:
Ho1 0.8866 0.7731 0.1530
Ho2 0.3060 0.6120 0.8680
Ho3 0.1134 0.2269 0.6530
Ho4 0.6940 0.3880 0.3680
Er1 0.5796 0.1592 0.9969
Er2 0.4204 0.8408 0.4969
Cu1 0.2155 0.4311 0.1443
Cu2 0.9526 0.9051 0.8232
Cu3 0.7845 0.5689 0.6443
Cu4 0.0474 0.0949 0.3232



TlIn2GaBr4 | PBE | optimized geometry

As for the density of states at the Fermi level: 0.00 states/eV/atom. The value obtained for the uncorrected formation energy is -64.0 kJ/mol of atoms. Its crystal system is monoclinic.

Cell: 4.6685 8.1077 8.0986 Å, 70.62 90.00 90.00°
Fractional positions:
Tl1 0.0000 0.5000 0.5000
In1 0.0000 0.0000 0.0000
In2 0.5000 0.0000 0.5000
Ga1 0.5000 0.5000 0.0000
Br1 0.0000 0.7402 0.7618
Br2 0.0000 0.2598 0.2382
Br3 0.5000 0.7468 0.2421
Br4 0.5000 0.2533 0.7579